# NdDy2Mg3Ir2Pd

A relaxed structure of NdDy2Mg3Ir2Pd (PBE-GGA, OQMD).

Summary:
total magnetic moment: 0.0 μB per formula unit
calculated total energy: -5.29 eV/atom

a = 4.040 Å, b = 12.888 Å, c = 7.376 Å
α = 90.00°, β = 90.00°, γ = 90.00°
Space group Amm2 (No. 38)
One atom of each set of equivalent atoms:
1 Nd 0.000 0.000 0.000 x2
2 Dy 0.000 0.208 0.374 x4
3 Mg 0.500 0.000 0.335 x2
4 Mg 0.500 0.125 0.704 x4
5 Ir 0.500 0.171 0.083 x4
6 Pd 0.000 0.000 0.577 x2

# Nd2DyMg3Ir2Pt

A relaxed structure of Nd2DyMg3Ir2Pt (PBE-GGA, OQMD).

Summary:
total magnetic moment: 0.0 μB per formula unit
calculated total energy: -5.46 eV/atom

a = 4.087 Å, b = 12.859 Å, c = 7.441 Å
α = 90.00°, β = 90.00°, γ = 90.00°
Space group Amm2 (No. 38)
One atom of each set of equivalent atoms:
1 Nd 0.000 0.208 0.000 x4
2 Dy 0.000 0.000 0.381 x2
3 Mg 0.500 0.000 0.040 x2
4 Mg 0.500 0.121 0.668 x4
5 Ir 0.500 0.162 0.294 x4
6 Pt 0.000 0.000 0.787 x2

# NdDy2Mg3Ir2Pt

A relaxed structure of NdDy2Mg3Ir2Pt (PBE-GGA, OQMD).

Summary:
total magnetic moment: 0.0 μB per formula unit
calculated total energy: -5.47 eV/atom

a = 4.059 Å, b = 12.784 Å, c = 7.369 Å
α = 90.00°, β = 90.00°, γ = 90.00°
Space group Amm2 (No. 38)
One atom of each set of equivalent atoms:
1 Nd 0.000 0.000 0.000 x2
2 Dy 0.000 0.206 0.378 x4
3 Mg 0.500 0.000 0.340 x2
4 Mg 0.500 0.125 0.706 x4
5 Ir 0.500 0.170 0.086 x4
6 Pt 0.000 0.000 0.579 x2

# Dy3Mg3Ir2Pd

A relaxed structure of Dy3Mg3Ir2Pd (PBE-GGA, OQMD).

Summary:
total magnetic moment: 0.0 μB per formula unit
calculated total energy: -5.30 eV/atom

a = 7.3620 Å, b = 7.3620 Å, c = 4.0039 Å
α = 90.00°, β = 90.00°, γ = 120.00°
Space group P-62m (No. 189)
One atom of each set of equivalent atoms:
1 Dy 0.0000 0.4163 0.0000 x3
2 Mg 0.0000 0.7516 0.5000 x3
3 Ir 0.3333 0.6667 0.5000 x2
4 Pd 0.0000 0.0000 0.0000 x1